[1]
Computed, not measured: a relaxed Pm8GeS3Br4 crystal at the PBE-GGA level of DFT.

## Properties
The density of states at the Fermi level is 7.3 states/eV per cell. The calculation puts the size of the total moment at 0.00 μB/f.u. The calculation puts the raw formation energy at -1.49 eV/atom.

a = 8.7037 Å, b = 8.7037 Å, c = 8.7037 Å
α = 56.24°, β = 56.24°, γ = 56.24°
With the nearest neighbours (Å) after each atom.
Sites, in units of the cell vectors:
1 Pm 0.2225 0.7396 0.7396  2 S 2.76, 1 Ge 2.86
2 Pm 0.2316 0.2316 0.2316  3 S 2.76
3 Pm 0.2604 0.2604 0.7775  2 S 2.76, 1 Ge 2.86
4 Pm 0.2604 0.7775 0.2604  2 S 2.76, 1 Ge 2.86
5 Pm 0.7396 0.2225 0.7396  2 S 2.76, 1 Ge 2.86
6 Pm 0.7396 0.7396 0.2225  2 S 2.76, 1 Ge 2.86
7 Pm 0.7684 0.7684 0.7684  3 S 2.76
8 Pm 0.7775 0.2604 0.2604  2 S 2.76, 1 Ge 2.86
9 Ge 0.5000 0.5000 0.5000  6 Pm 2.86
10 S 0.0000 0.0000 0.5000  6 Pm 2.76
11 S 0.0000 0.5000 0.0000  6 Pm 2.76
12 S 0.5000 0.0000 0.0000  6 Pm 2.76
13 Br 0.0000 0.0000 0.0000  6 Pm 3.16
14 Br 0.0000 0.5000 0.5000  6 Pm 3.25
15 Br 0.5000 0.0000 0.5000  6 Pm 3.25
16 Br 0.5000 0.5000 0.0000  6 Pm 3.25

[2]
Computed, not measured: a relaxed Mn2Hg2Sb crystal at the PBE-GGA level of DFT.

## Properties
Its distance to the lowest polymorph of the same formula is 0.0 meV per atom. The density of states at the Fermi level is 6.8 states/eV per cell. The calculation puts the size of the total moment at 6.92 μB/f.u. The calculation puts the raw formation energy at 0.31 eV/atom.

a = 6.9882 Å, b = 6.9882 Å, c = 4.1531 Å
α = 90.00°, β = 90.00°, γ = 90.00°
With the nearest neighbours (Å) after each atom.
Sites, in units of the cell vectors:
1 Mn 0.1457 0.3543 0.0000  2 Sb 2.68, 6 Hg 2.88-2.94, 1 Mn 2.88
2 Mn 0.3543 0.8543 0.0000  2 Sb 2.68, 6 Hg 2.88-2.94, 1 Mn 2.88
3 Mn 0.6457 0.1457 0.0000  2 Sb 2.68, 6 Hg 2.88-2.94, 1 Mn 2.88
4 Mn 0.8543 0.6457 0.0000  2 Sb 2.68, 6 Hg 2.88-2.94, 1 Mn 2.88
5 Hg 0.1530 0.6530 0.5000  6 Mn 2.88-2.94, 1 Hg 3.02
6 Hg 0.3470 0.1530 0.5000  6 Mn 2.88-2.94, 1 Hg 3.02
7 Hg 0.6530 0.8470 0.5000  6 Mn 2.88-2.94, 1 Hg 3.02
8 Hg 0.8470 0.3470 0.5000  6 Mn 2.88-2.94, 1 Hg 3.02
9 Sb 0.0000 0.0000 0.0000  4 Mn 2.68
10 Sb 0.5000 0.5000 0.0000  4 Mn 2.68

[3]
Computed, not measured: a relaxed RbGaHgI2 crystal at the PBE-GGA level of DFT.

## Properties
The density of states at the Fermi level is 0.6 states/eV per cell. The calculation puts the size of the total moment at 0.00 μB/f.u. The calculation puts the raw formation energy at -0.70 eV/atom.

a = 6.2416 Å, b = 6.2416 Å, c = 5.3489 Å
α = 90.00°, β = 90.00°, γ = 90.00°
With the nearest neighbours (Å) after each atom.
Sites, in units of the cell vectors:
1 Rb 0.0000 0.0000 0.0000  8 I 4.11, 4 Hg 4.41
2 Ga 0.5000 0.5000 0.5000  2 Hg 2.67
3 Hg 0.5000 0.5000 0.0000  2 Ga 2.67
4 I 0.0000 0.5000 0.5000  2 Ga 3.12
5 I 0.5000 0.0000 0.5000  2 Ga 3.12

[4]
Computed, not measured: a relaxed La12Fe5Pd3 crystal at the PBE-GGA level of DFT.

## Properties
As for the formation energy: 5 meV/atom. The density of states at the Fermi level is 68.8 states/eV per cell. The calculation puts the size of the total moment at 0.00 μB/f.u.

a = 14.3864 Å, b = 14.3864 Å, c = 14.3864 Å
α = 109.47°, β = 109.47°, γ = 109.47°
With the nearest neighbours (Å) after each atom.
Sites, in units of the cell vectors:
1 La 0.0274 0.2086 0.1219  2 Fe 2.47-2.73
2 La 0.0274 0.3188 0.9055  2 Fe 2.47-2.73
3 La 0.0867 0.7086 0.6812  2 Fe 2.47-2.73
4 La 0.0867 0.8781 0.4055  2 Fe 2.47-2.73
5 La 0.0945 0.6219 0.4133  2 Fe 2.47-2.73
6 La 0.0945 0.9726 0.6812  2 Fe 2.47-2.73
7 La 0.1219 0.0274 0.2086  2 Fe 2.47-2.73
8 La 0.1219 0.5945 0.9133  2 Fe 2.47-2.73
9 La 0.1812 0.2086 0.5867  2 Fe 2.47-2.73
10 La 0.1812 0.4726 0.5945  2 Fe 2.47-2.73
11 La 0.2086 0.1219 0.0274  2 Fe 2.47-2.73
12 La 0.2086 0.5867 0.1812  2 Fe 2.47-2.73
13 La 0.2914 0.3188 0.9133  2 Fe 2.47-2.73
14 La 0.2914 0.4726 0.3781  2 Fe 2.47-2.73
15 La 0.3188 0.9055 0.0274  2 Fe 2.47-2.73
16 La 0.3188 0.9133 0.2914  2 Fe 2.47-2.73
17 La 0.3781 0.2914 0.4726  2 Fe 2.47-2.73
18 La 0.3781 0.5867 0.9055  2 Fe 2.47-2.73
19 La 0.4055 0.0867 0.8781  2 Fe 2.47-2.73
20 La 0.4055 0.8188 0.5274  2 Fe 2.47-2.73
21 La 0.4133 0.0945 0.6219  2 Fe 2.47-2.73
22 La 0.4133 0.8188 0.7914  2 Fe 2.47-2.73
23 La 0.4726 0.3781 0.2914  2 Fe 2.47-2.73
24 La 0.4726 0.5945 0.1812  2 Fe 2.47-2.73
25 La 0.5274 0.4055 0.8188  2 Fe 2.47-2.73
26 La 0.5274 0.6219 0.7086  2 Fe 2.47-2.73
27 La 0.5867 0.1812 0.2086  2 Fe 2.47-2.73
28 La 0.5867 0.9055 0.3781  2 Fe 2.47-2.73
29 La 0.5945 0.1812 0.4726  2 Fe 2.47-2.73
30 La 0.5945 0.9133 0.1219  2 Fe 2.47-2.73
31 La 0.6219 0.4133 0.0945  2 Fe 2.47-2.73
32 La 0.6219 0.7086 0.5274  2 Fe 2.47-2.73
33 La 0.6812 0.0867 0.7086  2 Fe 2.47-2.73
34 La 0.6812 0.0945 0.9726  2 Fe 2.47-2.73
35 La 0.7086 0.5274 0.6219  2 Fe 2.47-2.73
36 La 0.7086 0.6812 0.0867  2 Fe 2.47-2.73
37 La 0.7914 0.4133 0.8188  2 Fe 2.47-2.73
38 La 0.7914 0.8781 0.9726  2 Fe 2.47-2.73
39 La 0.8188 0.5274 0.4055  2 Fe 2.47-2.73
40 La 0.8188 0.7914 0.4133  2 Fe 2.47-2.73
41 La 0.8781 0.4055 0.0867  2 Fe 2.47-2.73
42 La 0.8781 0.9726 0.7914  2 Fe 2.47-2.73
43 La 0.9055 0.0274 0.3188  2 Fe 2.47-2.73
44 La 0.9055 0.3781 0.5867  2 Fe 2.47-2.73
45 La 0.9133 0.1219 0.5945  2 Fe 2.47-2.73
46 La 0.9133 0.2914 0.3188  2 Fe 2.47-2.73
47 La 0.9726 0.6812 0.0945  2 Fe 2.47-2.73
48 La 0.9726 0.7914 0.8781  2 Fe 2.47-2.73
49 Fe 0.0000 0.0000 0.0000  6 La 2.73
50 Fe 0.0000 0.0000 0.5000  6 La 2.73
51 Fe 0.0000 0.5000 0.0000  6 La 2.73
52 Fe 0.0000 0.5000 0.5000  6 La 2.73
53 Fe 0.1250 0.7500 0.8750  4 La 2.47
54 Fe 0.1250 0.8750 0.2500  4 La 2.47
55 Fe 0.2500 0.1250 0.8750  4 La 2.47
56 Fe 0.2500 0.6250 0.3750  4 La 2.47
57 Fe 0.3750 0.2500 0.6250  4 La 2.47
58 Fe 0.3750 0.6250 0.7500  4 La 2.47
59 Fe 0.5000 0.0000 0.0000  6 La 2.73
60 Fe 0.5000 0.0000 0.5000  6 La 2.73
61 Fe 0.5000 0.5000 0.0000  6 La 2.73
62 Fe 0.5000 0.5000 0.5000  6 La 2.73
63 Fe 0.6250 0.3750 0.2500  4 La 2.47
64 Fe 0.6250 0.7500 0.3750  4 La 2.47
65 Fe 0.7500 0.3750 0.6250  4 La 2.47
66 Fe 0.7500 0.8750 0.1250  4 La 2.47
67 Fe 0.8750 0.1250 0.7500  4 La 2.47
68 Fe 0.8750 0.2500 0.1250  4 La 2.47
69 Pd 0.1250 0.2500 0.3750  8 La 3.19-3.27
70 Pd 0.1250 0.3750 0.7500  8 La 3.19-3.27
71 Pd 0.2500 0.3750 0.1250  8 La 3.19-3.27
72 Pd 0.2500 0.8750 0.6250  8 La 3.19-3.27
73 Pd 0.3750 0.1250 0.2500  8 La 3.19-3.27
74 Pd 0.3750 0.7500 0.1250  8 La 3.19-3.27
75 Pd 0.6250 0.2500 0.8750  8 La 3.19-3.27
76 Pd 0.6250 0.8750 0.7500  8 La 3.19-3.27
77 Pd 0.7500 0.1250 0.3750  8 La 3.19-3.27
78 Pd 0.7500 0.6250 0.8750  8 La 3.19-3.27
79 Pd 0.8750 0.6250 0.2500  8 La 3.19-3.27
80 Pd 0.8750 0.7500 0.6250  8 La 3.19-3.27

[5]
Computed, not measured: a relaxed Th4PdAu3 crystal at the PBE-GGA level of DFT.

## Properties
As for the formation energy: -638 meV/atom. The density of states at the Fermi level is 8.6 states/eV per cell. The calculation puts the size of the total moment at 0.00 μB/f.u.

a = 3.9080 Å, b = 4.6121 Å, c = 11.5227 Å
α = 90.00°, β = 90.00°, γ = 90.00°
With the nearest neighbours (Å) after each atom.
Sites, in units of the cell vectors:
1 Th 0.0000 0.0000 0.0000  5 Au 3.12-3.20, 2 Pd 3.27
2 Th 0.0000 0.5000 0.2856  4 Pd 3.09, 3 Au 3.16-3.18
3 Th 0.5000 0.0000 0.4926  1 Pd 3.05, 6 Au 3.12-3.29
4 Th 0.5000 0.5000 0.7907  7 Au 3.12-3.30
5 Pd 0.5000 0.0000 0.2279  2 Au 2.95, 7 Th 3.05-3.27
6 Au 0.0000 0.0000 0.7220  2 Au 2.97, 7 Th 3.12-3.29
7 Au 0.0000 0.5000 0.5600  2 Au 2.97, 7 Th 3.12-3.30
8 Au 0.5000 0.5000 0.0678  2 Pd 2.95, 7 Th 3.12-3.19

[6]
Computed, not measured: a relaxed BaHf crystal at the PBE-GGA level of DFT.

## Properties
As for the formation energy: 777 meV/atom. Its distance to the lowest polymorph of the same formula is 218.7 meV per atom. The density of states at the Fermi level is 21.9 states/eV per cell. The calculation puts the size of the total moment at 0.00 μB/f.u.

a = 6.6330 Å, b = 8.5940 Å, c = 9.7957 Å
α = 90.00°, β = 90.00°, γ = 90.00°
With the nearest neighbours (Å) after each atom.
Sites, in units of the cell vectors:
1 Ba 0.0069 0.1748 0.0417  4 Hf 3.38-3.62, 4 Ba 3.53-3.65
2 Ba 0.1104 0.0456 0.7070  2 Ba 3.53-3.56, 6 Hf 3.54-3.90
3 Ba 0.3896 0.9544 0.2070  2 Ba 3.53-3.56, 6 Hf 3.54-3.90
4 Ba 0.4931 0.8252 0.5417  4 Hf 3.38-3.62, 4 Ba 3.53-3.65
5 Ba 0.5069 0.3252 0.9583  4 Hf 3.38-3.62, 4 Ba 3.53-3.65
6 Ba 0.6104 0.4544 0.2930  2 Ba 3.53-3.56, 6 Hf 3.54-3.90
7 Ba 0.8896 0.5456 0.7930  2 Ba 3.53-3.56, 6 Hf 3.54-3.90
8 Ba 0.9931 0.6748 0.4583  4 Hf 3.38-3.62, 4 Ba 3.53-3.65
9 Hf 0.1306 0.5419 0.1473  2 Hf 2.88-3.06
10 Hf 0.1457 0.2898 0.4175  2 Hf 2.88-3.06
11 Hf 0.3543 0.7102 0.9175  2 Hf 2.88-3.06
12 Hf 0.3694 0.4581 0.6473  2 Hf 2.88-3.06
13 Hf 0.6306 0.9581 0.8527  2 Hf 2.88-3.06
14 Hf 0.6457 0.2102 0.5825  2 Hf 2.88-3.06
15 Hf 0.8543 0.7898 0.0825  2 Hf 2.88-3.06
16 Hf 0.8694 0.0419 0.3527  2 Hf 2.88-3.06

[7]
Computed, not measured: a relaxed NdZnCdAu crystal at the PBE-GGA level of DFT.

## Properties
As for the formation energy: -491 meV/atom. The density of states at the Fermi level is 2.8 states/eV per cell. The calculation puts the size of the total moment at 0.00 μB/f.u.

a = 4.9789 Å, b = 4.9789 Å, c = 4.9789 Å
α = 60.00°, β = 60.00°, γ = 60.00°
With the nearest neighbours (Å) after each atom.
Sites, in units of the cell vectors:
1 Nd 0.0000 0.0000 0.0000  4 Zn 3.05, 4 Au 3.05
2 Zn 0.7500 0.7500 0.7500  4 Cd 3.05, 4 Nd 3.05
3 Cd 0.5000 0.5000 0.5000  4 Zn 3.05, 4 Au 3.05
4 Au 0.2500 0.2500 0.2500  4 Cd 3.05, 4 Nd 3.05

[8]
Computed, not measured: a relaxed Ho2BeGa3Cu12 crystal at the PBE-GGA level of DFT.

## Properties
As for the formation energy: 47 meV/atom. The density of states at the Fermi level is 7.3 states/eV per cell. The calculation puts the size of the total moment at 0.00 μB/f.u.

a = 11.4585 Å, b = 11.4585 Å, c = 11.4585 Å
α = 27.20°, β = 27.20°, γ = 27.20°
With the nearest neighbours (Å) after each atom.
Sites, in units of the cell vectors:
1 Ho 0.1435 0.1435 0.1435  12 Cu 2.87-3.17, 3 Be 3.20
2 Ho 0.8565 0.8565 0.8565  12 Cu 2.87-3.17, 3 Be 3.20
3 Be 0.5000 0.5000 0.5000  6 Cu 2.31
4 Ga 0.0000 0.5000 0.5000  4 Cu 2.51, 4 Ga 2.69
5 Ga 0.5000 0.0000 0.5000  4 Cu 2.51, 4 Ga 2.69
6 Ga 0.5000 0.5000 0.0000  4 Cu 2.51, 4 Ga 2.69
7 Cu 0.0969 0.0969 0.6320  4 Cu 2.46-2.50, 2 Ga 2.51
8 Cu 0.0969 0.6320 0.0969  4 Cu 2.46-2.50, 2 Ga 2.51
9 Cu 0.1233 0.6090 0.6090  1 Be 2.31, 2 Cu 2.46
10 Cu 0.3680 0.9031 0.9031  4 Cu 2.46-2.50, 2 Ga 2.51
11 Cu 0.3910 0.3910 0.8767  1 Be 2.31, 2 Cu 2.46
12 Cu 0.3910 0.8767 0.3910  1 Be 2.31, 2 Cu 2.46
13 Cu 0.6090 0.1233 0.6090  1 Be 2.31, 2 Cu 2.46
14 Cu 0.6090 0.6090 0.1233  1 Be 2.31, 2 Cu 2.46
15 Cu 0.6320 0.0969 0.0969  4 Cu 2.46-2.50, 2 Ga 2.51
16 Cu 0.8767 0.3910 0.3910  1 Be 2.31, 2 Cu 2.46
17 Cu 0.9031 0.3680 0.9031  4 Cu 2.46-2.50, 2 Ga 2.51
18 Cu 0.9031 0.9031 0.3680  4 Cu 2.46-2.50, 2 Ga 2.51